Version i
Compound: SmTmCuPd
Source: Alexandria via LeMat-Bulk
Functional: PBE
Structure: optimized geometry

**DOS(E_F)**: 2.503 states/eV/cell
**Symmetry**: No. 38

Unit cell a=3.759 b=4.578 c=5.537 alpha=90.00 beta=109.84 gamma=90.00
Fractional coordinates of all 4 atoms:
Sm 0.141 0.000 0.281
Tm 0.863 0.500 0.726
Cu 0.421 0.000 0.842
Pd 0.576 0.500 0.151

Version ii
Compound: SmTmCuPd
Source: Alexandria via LeMat-Bulk
Functional: PBE
Structure: optimized geometry

**DOS(E_F)**: 2.831 states/eV/cell
**Symmetry**: No. 216

Unit cell a=4.963 b=4.963 c=4.963 alpha=60.00 beta=60.00 gamma=60.00
Fractional coordinates of all 4 atoms:
Tm 0.000 0.000 0.000
Pd 0.750 0.750 0.750
Sm 0.500 0.500 0.500
Cu 0.250 0.250 0.250

On energetic grounds, version i is preferred over the next structure by 2.9 kJ/mol of atoms.

Version i
Compound: SmZnCuPd
Source: Alexandria via LeMat-Bulk
Functional: PBE
Structure: optimized geometry

**DOS(E_F)**: 2.890 states/eV/cell
**Symmetry**: No. 216

Unit cell a=4.720 b=4.720 c=4.720 alpha=60.00 beta=60.00 gamma=60.00
Fractional coordinates of all 4 atoms:
Zn 0.250 0.250 0.250
Cu 0.500 0.500 0.500
Pd 0.000 0.000 0.000
Sm 0.750 0.750 0.750

Version ii
Compound: SmZnCuPd
Source: Alexandria via LeMat-Bulk
Functional: PBE
Structure: optimized geometry

**DOS(E_F)**: 2.173 states/eV/cell
**Symmetry**: No. 8

Unit cell a=4.388 b=4.378 c=5.278 alpha=114.63 beta=90.00 gamma=120.08
Fractional coordinates of all 4 atoms:
Sm 0.617 0.233 0.492
Zn 0.113 0.226 0.981
Cu 0.409 0.817 0.868
Pd 0.828 0.656 0.126

On energetic grounds, version ii is preferred over the next structure by 9.2 kJ/mol of atoms.

Version i
Compound: CuSnPd3
Source: Alexandria via LeMat-Bulk
Functional: PBE
Structure: optimized geometry

**DOS(E_F)**: 3.490 states/eV/cell
**Symmetry**: No. 2

Unit cell a=4.621 b=4.620 c=7.922 alpha=86.64 beta=72.96 gamma=77.88
Fractional coordinates of all 10 atoms:
Cu 0.850 0.844 0.018
Cu 0.562 0.344 0.597
Sn 0.354 0.344 0.012
Sn 0.057 0.845 0.603
Pd 0.151 0.345 0.419
Pd 0.956 0.345 0.808
Pd 0.651 0.845 0.415
Pd 0.760 0.344 0.199
Pd 0.260 0.845 0.195
Pd 0.455 0.844 0.806

Version ii
Compound: CuSnPd3
Source: Alexandria via LeMat-Bulk
Functional: PBE
Structure: optimized geometry

**DOS(E_F)**: 9.161 states/eV/cell
**Symmetry**: No. 62

Unit cell a=5.619 b=7.414 c=7.924 alpha=90.00 beta=90.00 gamma=90.00
Fractional coordinates of all 20 atoms:
Cu 0.000 0.500 0.000
Cu 0.500 0.000 0.500
Cu 0.500 0.000 0.000
Cu 0.000 0.500 0.500
Sn 0.293 0.513 0.750
Sn 0.207 0.013 0.250
Sn 0.707 0.487 0.250
Sn 0.793 0.987 0.750
Pd 0.887 0.176 0.057
Pd 0.613 0.676 0.557
Pd 0.613 0.676 0.943
Pd 0.113 0.824 0.557
Pd 0.113 0.824 0.943
Pd 0.387 0.324 0.443
Pd 0.387 0.324 0.057
Pd 0.887 0.176 0.443
Pd 0.244 0.145 0.750
Pd 0.256 0.645 0.250
Pd 0.756 0.855 0.250
Pd 0.744 0.355 0.750

On energetic grounds, version i is preferred over the next structure by 13.4 kJ/mol of atoms.

Version i
Compound: CuSn2Pd2
Source: Alexandria via LeMat-Bulk
Functional: PBE
Structure: optimized geometry

**DOS(E_F)**: 3.719 states/eV/cell
**Symmetry**: No. 127

Unit cell a=7.042 b=7.042 c=3.780 alpha=90.00 beta=90.00 gamma=90.00
Fractional coordinates of all 10 atoms:
Cu 0.000 0.000 0.000
Cu 0.500 0.500 0.000
Sn 0.163 0.663 0.500
Sn 0.663 0.837 0.500
Sn 0.837 0.337 0.500
Sn 0.337 0.163 0.500
Pd 0.357 0.857 0.000
Pd 0.857 0.643 0.000
Pd 0.643 0.143 0.000
Pd 0.143 0.357 0.000

Version ii
Compound: CuSn2Pd2
Source: Alexandria via LeMat-Bulk
Functional: PBE
Structure: optimized geometry

**DOS(E_F)**: 3.491 states/eV/cell
**Symmetry**: No. 127

Unit cell a=7.381 b=7.381 c=3.486 alpha=90.00 beta=90.00 gamma=90.00
Fractional coordinates of all 10 atoms:
Cu 0.000 0.000 0.000
Cu 0.500 0.500 0.000
Sn 0.339 0.839 0.000
Sn 0.839 0.661 0.000
Sn 0.661 0.161 0.000
Sn 0.161 0.339 0.000
Pd 0.138 0.638 0.500
Pd 0.638 0.862 0.500
Pd 0.862 0.362 0.500
Pd 0.362 0.138 0.500

On energetic grounds, version i is preferred over the next structure by 6.7 kJ/mol of atoms.

Version i
Compound: Cu3SnPd6
Source: Alexandria via LeMat-Bulk
Functional: PBE
Structure: optimized geometry

**DOS(E_F)**: 9.803 states/eV/cell
**Symmetry**: No. 11

Unit cell a=3.946 b=8.177 c=10.370 alpha=109.71 beta=90.00 gamma=90.00
Fractional coordinates of all 20 atoms:
Cu 0.750 0.655 0.876
Cu 0.250 0.345 0.124
Cu 0.750 0.732 0.495
Cu 0.250 0.268 0.505
Cu 0.750 0.121 0.045
Cu 0.250 0.879 0.955
Sn 0.750 0.191 0.688
Sn 0.250 0.809 0.312
Pd 0.750 0.491 0.599
Pd 0.250 0.509 0.401
Pd 0.750 0.867 0.133
Pd 0.250 0.133 0.867
Pd 0.750 0.380 0.955
Pd 0.250 0.620 0.045
Pd 0.750 0.563 0.228
Pd 0.250 0.437 0.772
Pd 0.750 0.053 0.414
Pd 0.250 0.947 0.586
Pd 0.750 0.879 0.762
Pd 0.250 0.121 0.238

Version ii
Compound: Cu3SnPd6
Source: Alexandria via LeMat-Bulk
Functional: PBE
Structure: optimized geometry

**DOS(E_F)**: 8.652 states/eV/cell
**Symmetry**: No. 11

Unit cell a=4.174 b=8.014 c=9.066 alpha=98.98 beta=90.00 gamma=90.00
Fractional coordinates of all 20 atoms:
Cu 0.250 0.547 0.400
Cu 0.750 0.453 0.600
Cu 0.250 0.348 0.815
Cu 0.750 0.652 0.185
Cu 0.250 0.746 0.987
Cu 0.750 0.254 0.013
Sn 0.250 0.933 0.621
Sn 0.750 0.067 0.379
Pd 0.250 0.464 0.102
Pd 0.750 0.536 0.898
Pd 0.250 0.162 0.204
Pd 0.750 0.838 0.796
Pd 0.250 0.620 0.693
Pd 0.750 0.380 0.307
Pd 0.250 0.257 0.518
Pd 0.750 0.743 0.482
Pd 0.250 0.838 0.292
Pd 0.750 0.162 0.708
Pd 0.250 0.059 0.910
Pd 0.750 0.941 0.090

On energetic grounds, version ii is preferred over the next structure by 10.4 kJ/mol of atoms.

Version i
Compound: CuSn2Pd8
Source: Alexandria via LeMat-Bulk
Functional: PBE
Structure: optimized geometry

**DOS(E_F)**: 4.922 states/eV/cell
**Symmetry**: No. 12

Unit cell a=4.187 b=6.392 c=7.357 alpha=108.51 beta=106.53 gamma=90.00
Fractional coordinates of all 11 atoms:
Cu 0.500 0.000 0.000
Sn 0.787 0.334 0.574
Sn 0.213 0.666 0.426
Pd 0.405 0.552 0.809
Pd 0.670 0.915 0.340
Pd 0.851 0.797 0.703
Pd 0.965 0.264 0.930
Pd 0.149 0.203 0.297
Pd 0.330 0.085 0.660
Pd 0.595 0.448 0.191
Pd 0.035 0.736 0.070

Version ii
Compound: CuSn2Pd8
Source: Alexandria via LeMat-Bulk
Functional: PBE
Structure: optimized geometry

**DOS(E_F)**: 4.667 states/eV/cell
**Symmetry**: No. 71

Unit cell a=4.236 b=7.289 c=7.254 alpha=120.16 beta=106.98 gamma=90.00
Fractional coordinates of all 11 atoms:
Pd 0.654 0.884 0.309
Pd 0.346 0.575 0.691
Pd 0.145 0.145 0.291
Pd 0.000 0.294 0.000
Pd 0.855 0.855 0.709
Pd 0.654 0.425 0.309
Pd 0.346 0.116 0.691
Pd 0.000 0.706 0.000
Sn 0.191 0.691 0.381
Sn 0.809 0.309 0.619
Cu 0.500 0.000 0.000

On energetic grounds, version ii is preferred over the next structure by 1.6 kJ/mol of atoms.

Version i
Compound: CuSn4Pd
Source: Alexandria via LeMat-Bulk
Functional: PBE
Structure: optimized geometry

**DOS(E_F)**: 2.651 states/eV/cell
**Symmetry**: No. 140

Unit cell a=6.673 b=6.673 c=7.580 alpha=116.11 beta=116.11 gamma=90.00
Fractional coordinates of all 12 atoms:
Cu 0.500 0.500 0.000
Cu 0.000 0.000 0.000
Sn 0.466 0.966 0.259
Sn 0.966 0.793 0.259
Sn 0.293 0.466 0.259
Sn 0.707 0.534 0.741
Sn 0.034 0.207 0.741
Sn 0.534 0.034 0.741
Sn 0.207 0.707 0.741
Sn 0.793 0.293 0.259
Pd 0.250 0.250 0.500
Pd 0.750 0.750 0.500

Version ii
Compound: CuSn4Pd
Source: Alexandria via LeMat-Bulk
Functional: PBE
Structure: optimized geometry

**DOS(E_F)**: 5.831 states/eV/cell
**Symmetry**: No. 14

Unit cell a=6.549 b=6.605 c=6.534 alpha=90.00 beta=88.31 gamma=90.00
Fractional coordinates of all 12 atoms:
Cu 0.500 0.000 0.500
Cu 0.000 0.500 0.500
Sn 0.865 0.633 0.139
Sn 0.635 0.133 0.861
Sn 0.368 0.361 0.373
Sn 0.132 0.861 0.627
Sn 0.135 0.367 0.861
Sn 0.365 0.867 0.139
Sn 0.632 0.639 0.627
Sn 0.868 0.139 0.373
Pd 0.000 0.000 0.000
Pd 0.500 0.500 0.000

On energetic grounds, version i is preferred over the next structure by 5.8 kJ/mol of atoms.

Version i
Compound: Cu2SnPd8
Source: Alexandria via LeMat-Bulk
Functional: PBE
Structure: optimized geometry

**DOS(E_F)**: 9.927 states/eV/cell
**Symmetry**: No. 12

Unit cell a=4.017 b=6.215 c=7.286 alpha=105.50 beta=106.00 gamma=90.00
Fractional coordinates of all 11 atoms:
Cu 0.227 0.638 0.453
Cu 0.773 0.362 0.547
Sn 0.500 0.000 0.000
Pd 0.597 0.462 0.195
Pd 0.317 0.084 0.634
Pd 0.143 0.199 0.287
Pd 0.047 0.728 0.094
Pd 0.857 0.801 0.713
Pd 0.683 0.916 0.366
Pd 0.403 0.538 0.805
Pd 0.953 0.272 0.906

Version ii
Compound: Cu2SnPd8
Source: Alexandria via LeMat-Bulk
Functional: PBE
Structure: optimized geometry

**DOS(E_F)**: 11.626 states/eV/cell
**Symmetry**: No. 12

Unit cell a=4.647 b=7.222 c=6.839 alpha=58.13 beta=77.30 gamma=65.39
Fractional coordinates of all 11 atoms:
Cu 0.000 0.309 0.382
Cu 0.000 0.691 0.618
Sn 0.500 0.000 0.000
Pd 0.891 0.090 0.235
Pd 0.891 0.325 0.765
Pd 0.316 0.394 0.000
Pd 0.500 0.775 0.451
Pd 0.500 0.225 0.549
Pd 0.684 0.606 0.000
Pd 0.109 0.675 0.235
Pd 0.109 0.910 0.765

On energetic grounds, version i is preferred over the next structure by 15.6 kJ/mol of atoms.